First-principles (PBE) data for an optimized crystal structure of Sr2NiPtN, as listed in Alexandria via LeMat-Bulk.

Cell and atoms, written as POSCAR:
```
Sr2NiPtN
1.0
-3.479 -3.583 -1.917
3.956 -2.410 -2.676
0.620 -2.108 2.816
Sr Ni Pt N
2 1 1 1
Cartesian
-1.740 -1.791 -0.958
1.978 -1.205 -1.338
0.310 -1.054 1.408
0.548 -4.051 -0.888
0.000 0.000 0.000
```

Properties
Crystal system ... tetragonal
VASP energy ... -5.314 eV per atom
Formation energy without anion corrections ... -612 meV/atom
Energy above the most stable polymorph in this dataset ... 0.0 meV per atom